1.
Below is a relaxed structure of HgTeS2, with properties calculated at the GGA-PBEsol level. Values from VASP.

Space-group type   No. 166
E above lowest polymorph   1 meV per atom
Formation energy without anion corrections   0.46 eV per formula unit

Structure (Quantum ESPRESSO input):
```
&SYSTEM
  ibrav = 0, nat = 4, ntyp = 3
/
ATOMIC_SPECIES
Te 127.60 Te.upf
S 32.06 S.upf
Hg 200.59 Hg.upf
ATOMIC_POSITIONS crystal
Te 0.000 0.000 0.000
S 0.105 0.105 0.685
S 0.895 0.895 0.315
Hg 0.500 0.500 0.500
CELL_PARAMETERS angstrom
-3.745 -0.466 -0.530
-1.918 -2.545 2.090
-3.361 4.607 5.998
```

***

2.
Below is a relaxed structure of TiHg3S, with properties calculated at the GGA-PBEsol level. Values from VASP.

Space-group type   No. 221
Formation energy without anion corrections   4.10 eV per formula unit

Structure (Quantum ESPRESSO input):
```
&SYSTEM
  ibrav = 0, nat = 5, ntyp = 3
/
ATOMIC_SPECIES
Hg 200.59 Hg.upf
Ti 47.87 Ti.upf
S 32.06 S.upf
ATOMIC_POSITIONS crystal
Hg 0.500 0.000 0.000
Hg 0.000 0.000 0.500
Hg 0.000 0.500 0.000
Ti 0.500 0.500 0.500
S 0.000 0.000 0.000
CELL_PARAMETERS angstrom
-2.201 4.313 -1.359
-1.634 -2.167 -4.234
-4.217 -1.411 2.349
```

***

3.
Below is a relaxed structure of TlHgS2, with properties calculated at the GGA-PBEsol level. Values from VASP.

Space-group type   No. 122
Formation energy without anion corrections   -0.38 eV per formula unit

Structure (Quantum ESPRESSO input):
```
&SYSTEM
  ibrav = 0, nat = 8, ntyp = 3
/
ATOMIC_SPECIES
Tl 204.38 Tl.upf
S 32.06 S.upf
Hg 200.59 Hg.upf
ATOMIC_POSITIONS crystal
Tl 0.000 0.000 0.000
Tl 0.250 0.750 0.500
S 0.625 0.604 0.750
S 0.854 0.375 0.250
S 0.396 0.875 0.250
S 0.125 0.146 0.750
Hg 0.750 0.250 0.500
Hg 0.500 0.500 0.000
CELL_PARAMETERS angstrom
6.072 0.000 0.000
0.000 6.072 0.000
-3.036 -3.036 6.099
```

***

4.
Below is a relaxed structure of Tl2Hg3S4, with properties calculated at the GGA-PBEsol level. Values from VASP.

Space-group type   No. 15
Formation energy without anion corrections   -1.90 eV per formula unit

Structure (Quantum ESPRESSO input):
```
&SYSTEM
  ibrav = 0, nat = 18, ntyp = 3
/
ATOMIC_SPECIES
S 32.06 S.upf
Tl 204.38 Tl.upf
Hg 200.59 Hg.upf
ATOMIC_POSITIONS crystal
S 0.925 0.108 0.258
S 0.075 0.892 0.742
S 0.739 0.747 0.071
S 0.261 0.253 0.929
S 0.556 0.753 0.429
S 0.444 0.247 0.571
S 0.291 0.392 0.242
S 0.709 0.608 0.758
Tl 0.254 0.701 0.950
Tl 0.094 0.201 0.450
Tl 0.746 0.299 0.050
Tl 0.906 0.799 0.550
Hg 0.676 0.030 0.849
Hg 0.445 0.530 0.349
Hg 0.555 0.470 0.651
Hg 0.873 0.750 0.250
Hg 0.324 0.970 0.151
Hg 0.127 0.250 0.750
CELL_PARAMETERS angstrom
6.697 0.000 0.000
3.349 5.715 -0.013
3.349 0.257 11.590
```

***

5.
Below is a relaxed structure of Zn3HgS, with properties calculated at the GGA-PBEsol level. Values from VASP.

Space-group type   No. 221
Formation energy without anion corrections   1.71 eV per formula unit

Structure (Quantum ESPRESSO input):
```
&SYSTEM
  ibrav = 0, nat = 5, ntyp = 3
/
ATOMIC_SPECIES
Hg 200.59 Hg.upf
Zn 65.41 Zn.upf
S 32.06 S.upf
ATOMIC_POSITIONS crystal
Hg 0.500 0.500 0.500
Zn 0.500 0.000 0.000
Zn 0.000 0.500 0.000
Zn 0.000 0.000 0.500
S 0.000 0.000 0.000
CELL_PARAMETERS angstrom
4.661 0.000 0.000
0.000 4.661 0.000
0.000 0.000 4.661
```

***

6.
Below is a relaxed structure of Zr2HgS, with properties calculated at the GGA-PBEsol level. Values from VASP.

Space-group type   No. 225
Formation energy without anion corrections   -2.09 eV per formula unit

Structure (Quantum ESPRESSO input):
```
&SYSTEM
  ibrav = 0, nat = 4, ntyp = 3
/
ATOMIC_SPECIES
Zr 91.22 Zr.upf
S 32.06 S.upf
Hg 200.59 Hg.upf
ATOMIC_POSITIONS crystal
Zr 0.250 0.250 0.250
Zr 0.750 0.750 0.750
S 0.000 0.000 0.000
Hg 0.500 0.500 0.500
CELL_PARAMETERS angstrom
-1.724 -4.395 0.294
0.626 -2.527 3.950
-3.678 -0.914 2.831
```